Entry 1:
A plane-wave DFT calculation with PBE-GGA was carried out for an optimized crystal structure of Tl3ZnCr.

a = 5.3518 Å, b = 5.3518 Å, c = 5.3518 Å
α = 90.00°, β = 90.00°, γ = 90.00°
Fractional positions:
1 Tl 0.0000 0.0000 0.5000
2 Tl 0.0000 0.5000 0.0000
3 Tl 0.5000 0.0000 0.0000
4 Zn 0.5000 0.5000 0.5000
5 Cr 0.0000 0.0000 0.0000

Output
VASP energy: -3.054 eV per atom
Space group: No. 221
Energy above the most stable polymorph in this dataset: 0.0000 eV/atom
DFT formation energy: 0.546 eV/atom
Mass density: 7.9 g/cm³

***

Entry 2:
A plane-wave DFT calculation with PBE-GGA was carried out for an optimized crystal structure of ZrFe2Re.

a = 9.0094 Å, b = 9.0094 Å, c = 9.0094 Å
α = 17.98°, β = 17.98°, γ = 17.98°
Fractional positions:
1 Zr 0.0000 0.0000 0.0000
2 Fe 0.2431 0.2431 0.2431
3 Fe 0.5061 0.5061 0.5061
4 Re 0.7641 0.7641 0.7641

Output
VASP energy: -9.190 eV per atom
Space group: No. 160
DFT formation energy: 0.291 eV/atom
Mass density: 10.6 g/cm³

***

Entry 3:
A plane-wave DFT calculation with PBE-GGA was carried out for an optimized crystal structure of Tm2Ag2RhO6.

a = 5.7669 Å, b = 5.7669 Å, c = 6.4243 Å
α = 95.51°, β = 95.51°, γ = 120.89°
Fractional positions:
1 Tm 0.1625 0.8375 0.0000
2 Tm 0.8375 0.1625 0.0000
3 Ag 0.3483 0.6517 0.5000
4 Ag 0.6517 0.3483 0.5000
5 Rh 0.5000 0.5000 0.0000
6 O 0.1575 0.1575 0.8430
7 O 0.2286 0.5431 0.1694
8 O 0.4569 0.7714 0.8306
9 O 0.5431 0.2286 0.1694
10 O 0.7714 0.4569 0.8306
11 O 0.8425 0.8425 0.1570

Output
VASP energy: -6.490 eV per atom
Space group: No. 12
Mass density: 6.9 g/cm³
Formation energy without anion corrections: -1.79 eV/atom

***

Result set for V: 30.7, 15.2, 16.3 Å³/atom, one per record in the order listed.